DFT (PBE-GGA) results for crystalline LiAg2Se2 at its relaxed geometry.

E above lowest polymorph = 0.33 eV/f.u.
Symmetry = No. 139
N(E_F) = 5.0 states/eV/cell
M_tot = 0.000 μB/atom

abc: 7.183 7.183 7.183
angles: 146.76 146.76 47.72
Element x y z (fractional)
Li: 0.000 0.000 0.000
Ag: 0.250 0.750 0.500
Ag: 0.750 0.250 0.500
Se: 0.388 0.388 0.000
Se: 0.612 0.612 0.000